A relaxed structure of TbErTmMg. Source: the Alexandria database, functional GGA-PBE.

Summary:
ρ = 7.412 g/cm³
DFT total energy = -3.838 eV/atom
ΔE to the lowest computed polymorph = 0.00 eV/f.u.
Space group = P4mm, No. 99

Geometry as POSCAR:
```
TbErTmMg
1.0
3.5185 -0.0017 0.3165
0.0020 3.5342 -0.0015
-0.8338 0.0038 9.2825
Tb Er Tm Mg
1 1 1 1
direct
0.1077 0.4296 0.5796
0.6077 0.9297 0.8427
0.1075 0.4296 0.1015
0.6075 0.9296 0.3369
```

***

A relaxed structure of Tb3Y2Er6Mg. Source: the Alexandria database, functional GGA-PBE.

Summary:
ρ = 7.601 g/cm³
DFT total energy = -4.618 eV/atom
Space group = C2/m, No. 12

Geometry as POSCAR:
```
Tb3Y2Er6Mg
1.0
-0.9654 0.4547 5.9913
-2.3542 -4.6651 -3.1193
10.6033 -4.7023 1.0262
Tb Y Er Mg
3 2 6 1
direct
0.1660 0.8340 0.5000
0.8340 0.1660 0.5000
0.5000 0.5000 0.5000
0.3337 0.6663 0.0000
0.6663 0.3337 0.0000
0.9182 0.5857 0.7513
0.7490 0.7490 0.2497
0.0818 0.4143 0.2487
0.5857 0.9182 0.7513
0.2510 0.2510 0.7503
0.4143 0.0818 0.2487
0.0000 0.0000 0.0000
```

***

A relaxed structure of Tb4Y2ErMg. Source: the Alexandria database, functional GGA-PBE.

Summary:
ρ = 6.764 g/cm³
DFT total energy = -4.680 eV/atom
Space group = P2/m, No. 10

Geometry as POSCAR:
```
Tb4Y2ErMg
1.0
-3.9250 -1.6947 2.5189
2.8064 -0.4334 4.0814
0.4493 8.9251 6.7050
Tb Y Er Mg
4 2 1 1
direct
0.0000 0.7482 0.7515
0.0000 0.2518 0.2485
0.5000 0.7517 0.2483
0.5000 0.2483 0.7517
0.0000 0.0000 0.0000
0.5000 0.0000 0.5000
0.0000 0.5000 0.5000
0.5000 0.5000 0.0000
```

***

A relaxed structure of Tb2Y2ErMg5. Source: the Alexandria database, functional GGA-PBE.

Summary:
ρ = 4.602 g/cm³
DFT total energy = -3.391 eV/atom
Space group = P4/mbm, No. 127

Geometry as POSCAR:
```
Tb2Y2ErMg5
1.0
-4.3465 -0.1352 -2.5780
-5.1435 -2.7878 8.8182
-1.6574 10.2047 2.2594
Tb Y Er Mg
4 4 2 10
direct
0.0000 0.1194 0.6194
0.0000 0.8806 0.3806
0.0000 0.6194 0.8806
0.0000 0.3806 0.1194
0.0000 0.6782 0.1782
0.0000 0.3218 0.8218
0.0000 0.1782 0.3218
0.0000 0.8218 0.6782
0.0000 0.0000 0.0000
0.0000 0.5000 0.5000
0.5000 0.1965 0.0678
0.5000 0.8035 0.9322
0.5000 0.0678 0.8035
0.5000 0.6965 0.4322
0.5000 0.9322 0.1965
0.5000 0.3035 0.5678
0.5000 0.5678 0.6965
0.5000 0.4322 0.3035
0.5000 0.5000 0.0000
0.5000 0.0000 0.5000
```

***

A relaxed structure of TbY2Er2Mg5. Source: the Alexandria database, functional GGA-PBE.

Summary:
ρ = 4.653 g/cm³
DFT total energy = -3.390 eV/atom
Space group = P4/mbm, No. 127

Geometry as POSCAR:
```
TbY2Er2Mg5
1.0
-2.9109 -2.7879 -3.0390
5.6977 -8.5882 2.4213
-6.5077 -2.0339 8.0992
Tb Y Er Mg
2 4 4 10
direct
0.0000 0.0000 0.0000
0.0000 0.5000 0.5000
0.0000 0.6786 0.1786
0.0000 0.3214 0.8214
0.0000 0.1786 0.3214
0.0000 0.8214 0.6786
0.0000 0.1178 0.6178
0.0000 0.8822 0.3822
0.0000 0.6178 0.8822
0.0000 0.3822 0.1178
0.5000 0.1982 0.0692
0.5000 0.8018 0.9308
0.5000 0.0692 0.8018
0.5000 0.6982 0.4308
0.5000 0.9308 0.1982
0.5000 0.3018 0.5692
0.5000 0.5692 0.6982
0.5000 0.4308 0.3018
0.5000 0.5000 0.0000
0.5000 0.0000 0.5000
```

***

A relaxed structure of Tb2Y4ErMg. Source: the Alexandria database, functional GGA-PBE.

Summary:
ρ = 5.797 g/cm³
DFT total energy = -5.135 eV/atom
Space group = P2/m, No. 10

Geometry as POSCAR:
```
Tb2Y4ErMg
1.0
4.9737 0.0000 0.0000
0.0000 4.8690 1.0538
0.0000 2.7615 10.8289
Tb Y Er Mg
2 4 1 1
direct
0.0000 0.0000 0.0000
0.5000 0.0000 0.5000
0.0000 0.7481 0.7518
0.0000 0.2519 0.2482
0.5000 0.7516 0.2482
0.5000 0.2484 0.7517
0.0000 0.5000 0.5000
0.5000 0.5000 0.0000
```

***

A relaxed structure of TbY2Er2Mg. Source: the Alexandria database, functional GGA-PBE.

Summary:
ρ = 5.312 g/cm³
DFT total energy = -4.221 eV/atom
Space group = Pnnm, No. 58

Geometry as POSCAR:
```
TbY2Er2Mg
1.0
-2.2138 -1.9838 -2.0344
8.1840 -8.1947 -0.9148
-3.6893 -4.6373 8.5363
Tb Y Er Mg
2 4 4 2
direct
0.5000 0.5000 0.0000
0.0000 0.0000 0.5000
0.5000 0.0715 0.2481
0.0000 0.5715 0.2519
0.5000 0.9285 0.7519
0.0000 0.4285 0.7481
0.5000 0.7742 0.4170
0.5000 0.2258 0.5830
0.0000 0.7258 0.9170
0.0000 0.2742 0.0830
0.0000 0.0000 0.0000
0.5000 0.5000 0.5000
```

***

A relaxed structure of TbYErMg. Source: the Alexandria database, functional GGA-PBE.

Summary:
ρ = 6.157 g/cm³
DFT total energy = -4.342 eV/atom
ΔE to the lowest computed polymorph = 0.00 eV/f.u.
Space group = P4mm, No. 99

Geometry as POSCAR:
```
TbYErMg
1.0
3.5681 -0.0031 0.3108
0.0030 3.5813 0.0035
-0.8020 -0.0083 9.2037
Tb Y Er Mg
1 1 1 1
direct
0.1075 0.4297 0.1031
0.1075 0.4297 0.5762
0.6070 0.9297 0.8412
0.6084 0.9295 0.3404
```

***

Quick rundown of ΔE_f, same order as above: -0.02 0.03 0.02 0.08 0.08 0.02 0.49 -0.03 eV per atom